# KTl2Tc2O7 (PBE, relaxed)
data_KTl2Tc2O7
_symmetry_space_group_name_H-M 'R 3 2'
_symmetry_Int_Tables_number 155
_symmetry_space_group_name_Hall 'R 3 2"'
_cell_length_a 6.1606
_cell_length_b 6.1606
_cell_length_c 24.1846
_cell_angle_alpha 90.00
_cell_angle_beta 90.00
_cell_angle_gamma 120.00
loop_
_atom_site_label
_atom_site_fract_x
_atom_site_fract_y
_atom_site_fract_z
K1 0.0000 0.0000 0.0000
Tl1 0.0000 0.0000 0.2047
Tc1 0.0000 0.0000 0.4232
O1 0.0000 0.0000 0.5000
O2 0.0234 0.2915 0.4034
# Crystal system: trigonal
# Total DFT energy (no corrections), eV per atom: -6.36

# KTlTc2O6 (PBE, relaxed)
data_KTlTc2O6
_symmetry_space_group_name_H-M 'C 1 2/c 1'
_symmetry_Int_Tables_number 15
_cell_length_a 7.884
_cell_length_b 13.635
_cell_length_c 9.110
_cell_angle_alpha 90.00
_cell_angle_beta 113.94
_cell_angle_gamma 90.00
loop_
_symmetry_equiv_pos_as_xyz
'x,y,z'
'-x,-y,-z'
'-x,y,-z+1/2'
'x,-y,z+1/2'
'x+1/2,y+1/2,z'
'-x+1/2,-y+1/2,-z'
'-x+1/2,y+1/2,-z+1/2'
'x+1/2,-y+1/2,z+1/2'
loop_
_atom_site_label
_atom_site_fract_x
_atom_site_fract_y
_atom_site_fract_z
K1 0.000 0.096 0.250
Tl1 0.000 0.447 0.750
Tc1 0.158 0.167 0.747
O1 0.123 0.103 0.571
O2 0.205 0.402 0.082
O3 0.210 0.293 0.748
# Crystal system: monoclinic
# Total DFT energy (no corrections), eV per atom: -6.68

# K2TlTcO4 (PBE, relaxed)
data_K2TlTcO4
_symmetry_space_group_name_H-M 'F m m 2'
_symmetry_Int_Tables_number 42
_symmetry_space_group_name_Hall 'F 2 -2'
_cell_length_a 8.702
_cell_length_b 9.081
_cell_length_c 8.186
_cell_angle_alpha 90.00
_cell_angle_beta 90.00
_cell_angle_gamma 90.00
loop_
_atom_site_label
_atom_site_fract_x
_atom_site_fract_y
_atom_site_fract_z
K1 0.250 0.250 0.000
Tl1 0.000 0.000 0.271
Tc1 0.000 0.000 0.736
O1 0.000 0.189 0.813
O2 0.199 0.000 0.662
# Crystal system: orthorhombic
# Total DFT energy (no corrections), eV per atom: -5.68

# K2Tl3TcO6 (PBE, relaxed)
data_K2Tl3TcO6
_symmetry_space_group_name_H-M 'C 1 2/m 1'
_symmetry_Int_Tables_number 12
_cell_length_a 6.439
_cell_length_b 11.449
_cell_length_c 6.178
_cell_angle_alpha 90.00
_cell_angle_beta 107.01
_cell_angle_gamma 90.00
loop_
_symmetry_equiv_pos_as_xyz
'x,y,z'
'-x,-y,-z'
'-x,y,-z'
'x,-y,z'
'x+1/2,y+1/2,z'
'-x+1/2,-y+1/2,-z'
'-x+1/2,y+1/2,-z'
'x+1/2,-y+1/2,z'
loop_
_atom_site_label
_atom_site_fract_x
_atom_site_fract_y
_atom_site_fract_z
K1 0.000 0.170 0.000
Tl1 0.000 0.000 0.500
Tl2 0.000 0.345 0.500
Tc1 0.000 0.500 0.000
O1 0.177 0.500 0.782
O2 0.182 0.383 0.178
# Crystal system: monoclinic
# Total DFT energy (no corrections), eV per atom: -5.29